(one)
The following is a DFT calculation (PBE-GGA) of NdHoPd4 after structural relaxation.

The structure belongs to space group Cmcm (No. 63); the cell edges are 4.225, 19.743 and 5.787 Å and the angles 90.00°, 90.00° and 90.00°. The distinct sites, in fractional coordinates, are Nd at (0.000, 0.223, 0.250), Ho at (0.000, 0.075, 0.750), Pd at (0.000, 0.072, 0.250), Pd at (0.000, 0.356, 0.507) and Pd at (0.000, 0.500, 0.000).

The value obtained for the density is 10.1 g cm⁻³.


(two)
The following is a DFT calculation (PBE-GGA) of NdHoPd4 after structural relaxation.

The structure belongs to space group F-43m (No. 216); the cell edges are 7.753, 7.753 and 7.753 Å and the angles 90.00°, 90.00° and 90.00°. The distinct sites, in fractional coordinates, are Nd at (0.000, 0.000, 0.000), Ho at (0.250, 0.250, 0.750) and Pd at (0.125, 0.125, 0.375).

The value obtained for the density is 10.5 g cm⁻³.


(three)
The following is a DFT calculation (PBE-GGA) of NdHoPd4 after structural relaxation.

The structure belongs to space group P4/mmm (No. 123); the cell edges are 3.951, 3.951 and 8.632 Å and the angles 90.00°, 90.00° and 90.00°. The distinct sites, in fractional coordinates, are Nd at (0.000, 0.000, 0.000), Ho at (0.500, 0.500, 0.500) and Pd at (0.000, 0.500, 0.258).

The value obtained for the density is 9.1 g cm⁻³.


Which is most stable? The ranking, best first, is (one), (two), (three).


(one)
The following is a DFT calculation (PBE-GGA) of NdHoPdPt after structural relaxation.

The structure belongs to space group F-43m (No. 216); the cell edges are 7.105, 7.105 and 7.105 Å and the angles 90.00°, 90.00° and 90.00°. The distinct sites, in fractional coordinates, are Nd at (0.000, 0.000, 0.000), Ho at (0.000, 0.000, 0.500), Pd at (0.250, 0.250, 0.250) and Pt at (0.250, 0.250, 0.750).

The value obtained for the density is 11.3 g cm⁻³.


(two)
The following is a DFT calculation (PBE-GGA) of NdHoPdPt after structural relaxation.

The structure belongs to space group Amm2 (No. 38); the cell edges are 4.531, 3.824 and 10.740 Å and the angles 90.00°, 90.00° and 90.00°. The distinct sites, in fractional coordinates, are Nd at (0.000, 0.000, 0.000), Ho at (0.500, 0.000, 0.726), Pd at (0.500, 0.000, 0.447) and Pt at (0.000, 0.000, 0.273).

The value obtained for the density is 10.9 g cm⁻³.


Which is most stable? The ranking, best first, is (two), (one).


(one)
The following is a DFT calculation (PBE-GGA) of Pm4Nd2Ho5 after structural relaxation.

The structure belongs to space group C2/m (No. 12); the cell edges are 24.087, 3.477 and 8.812 Å and the angles 90.00°, 96.62° and 90.00°. The distinct sites, in fractional coordinates, are Pm at (0.046, 0.000, 0.358), Pm at (0.179, 0.500, 0.471), Nd at (0.090, 0.000, 0.741), Ho at (0.000, 0.500, 0.000), Ho at (0.142, 0.000, 0.117) and Ho at (0.233, 0.000, 0.829).

The value obtained for the density is 7.7 g cm⁻³.


(two)
The following is a DFT calculation (PBE-GGA) of Pm4Nd2Ho5 after structural relaxation.

The structure belongs to space group C2/m (No. 12); the cell edges are 11.187, 7.470 and 9.278 Å and the angles 90.00°, 107.33° and 90.00°. The distinct sites, in fractional coordinates, are Pm at (0.176, 0.000, 0.125), Pm at (0.182, 0.000, 0.498), Nd at (0.144, 0.500, 0.127), Ho at (0.000, 0.500, 0.500) and Ho at (0.067, 0.219, 0.779).

The value obtained for the density is 7.6 g cm⁻³.


Which is most stable? The ranking, best first, is (two), (one).


(one)
The following is a DFT calculation (PBE-GGA) of PmNd6Ho4 after structural relaxation.

The structure belongs to space group I-42m (No. 121); the cell edges are 6.585, 6.585 and 17.646 Å and the angles 90.00°, 90.00° and 90.00°. The distinct sites, in fractional coordinates, are Pm at (0.000, 0.000, 0.000), Nd at (0.000, 0.500, 0.000), Nd at (0.179, 0.179, 0.637) and Ho at (0.185, 0.185, 0.825).

The value obtained for the density is 7.3 g cm⁻³.


(two)
The following is a DFT calculation (PBE-GGA) of PmNd6Ho4 after structural relaxation.

The structure belongs to space group P-6m2 (No. 187); the cell edges are 11.1086, 11.1086 and 3.5872 Å and the angles 90.00°, 90.00° and 120.00°. The distinct sites, in fractional coordinates, are Pm at (0.0000, 0.0000, 0.0000), Nd at (0.1823, 0.3647, 0.5000), Nd at (0.5240, 0.0479, 0.0000), Ho at (0.3215, 0.1608, 0.5000) and Ho at (0.3333, 0.6667, 0.0000).

The value obtained for the density is 7.2 g cm⁻³.


Which is most stable? The ranking, best first, is (two), (one).


(one)
The following is a DFT calculation (PBE-GGA) of Pm9NdHo2 after structural relaxation.

The structure belongs to space group P6/mmm (No. 191); the cell edges are 11.4765, 11.4765 and 3.5685 Å and the angles 90.00°, 90.00° and 120.00°. The distinct sites, in fractional coordinates, are Pm at (0.0000, 0.5000, 0.0000), Pm at (0.1765, 0.3530, 0.5000), Nd at (0.0000, 0.0000, 0.0000) and Ho at (0.3333, 0.6667, 0.0000).

The value obtained for the density is 7.3 g cm⁻³.


(two)
The following is a DFT calculation (PBE-GGA) of Pm9NdHo2 after structural relaxation.

The structure belongs to space group P4/mmm (No. 123); the cell edges are 5.134, 5.134 and 15.400 Å and the angles 90.00°, 90.00° and 90.00°. The distinct sites, in fractional coordinates, are Pm at (0.000, 0.000, 0.000), Pm at (0.000, 0.000, 0.335), Pm at (0.000, 0.500, 0.169), Pm at (0.000, 0.500, 0.500), Nd at (0.500, 0.500, 0.000) and Ho at (0.500, 0.500, 0.335).

The value obtained for the density is 7.3 g cm⁻³.


Which is most stable? The ranking, best first, is (two), (one).


(one)
The following is a DFT calculation (PBE-GGA) of PmNd5Ho5 after structural relaxation.

The structure belongs to space group C2/m (No. 12); the cell edges are 18.998, 6.009 and 7.050 Å and the angles 90.00°, 111.51° and 90.00°. The distinct sites, in fractional coordinates, are Pm at (0.000, 0.000, 0.000), Nd at (0.000, 0.500, 0.000), Nd at (0.176, 0.000, 0.421), Nd at (0.176, 0.000, 0.933), Ho at (0.000, 0.000, 0.500), Ho at (0.123, 0.500, 0.625) and Ho at (0.170, 0.500, 0.171).

The value obtained for the density is 7.5 g cm⁻³.


(two)
The following is a DFT calculation (PBE-GGA) of PmNd5Ho5 after structural relaxation.

The structure belongs to space group P-1 (No. 2); the cell edges are 6.962, 7.023 and 8.478 Å and the angles 75.38°, 76.80° and 72.41°. The distinct sites, in fractional coordinates, are Pm at (0.000, 0.000, 0.000), Nd at (0.000, 0.500, 0.000), Nd at (0.159, 0.132, 0.358), Nd at (0.362, 0.739, 0.732), Ho at (0.201, 0.643, 0.316), Ho at (0.328, 0.271, 0.652) and Ho at (0.500, 0.000, 0.000).

The value obtained for the density is 7.4 g cm⁻³.


Which is most stable? The ranking, best first, is (two), (one).